Entry 1:
First-principles (PBE) data for a geometry-optimized Ac2LaPrNd structure, as listed in the Alexandria database.

Properties
ΔH_f (0 K) = 0.23 eV per atom
size of the total moment = 0.00 Bohr magnetons per cell

Cell and atoms, written as CIF:
```
data_Ac2LaPrNd
_cell_length_a 7.026
_cell_length_b 8.962
_cell_length_c 6.507
_cell_angle_alpha 90.05
_cell_angle_beta 90.00
_cell_angle_gamma 90.00
_symmetry_space_group_name_H-M 'P 1'
_symmetry_Int_Tables_number 1
_symmetry_space_group_name_Hall 'P 1'
loop_
_atom_site_label
_atom_site_fract_x
_atom_site_fract_y
_atom_site_fract_z
Ac1 0.702 0.704 0.751
Ac2 0.702 0.296 0.749
Ac3 0.298 0.704 0.251
Ac4 0.298 0.296 0.249
La1 0.581 0.000 0.250
La2 0.419 0.000 0.750
Pr1 0.168 0.500 0.750
Pr2 0.832 0.500 0.250
Nd1 0.000 0.000 0.000
Nd2 0.000 0.000 0.500
```



Entry 2:
First-principles (PBE) data for a geometry-optimized SrSc2Ir structure, as listed in the Alexandria database.

Properties
ΔH_f (0 K) = -0.18 eV per atom
offset from the most stable computed form = 186.0 meV/atom
size of the total moment = 0.00 Bohr magnetons per cell

Cell and atoms, written as CIF:
```
data_SrSc2Ir
_cell_length_a 10.302
_cell_length_b 10.302
_cell_length_c 10.302
_cell_angle_alpha 21.94
_cell_angle_beta 21.94
_cell_angle_gamma 21.94
_symmetry_space_group_name_H-M 'P 1'
_symmetry_Int_Tables_number 1
_symmetry_space_group_name_Hall 'P 1'
loop_
_atom_site_label
_atom_site_fract_x
_atom_site_fract_y
_atom_site_fract_z
Sc1 0.876 0.876 0.876
Sc2 0.124 0.124 0.124
Sr1 0.000 0.000 0.000
Ir1 0.500 0.500 0.500
```



Entry 3:
First-principles (PBE) data for a geometry-optimized BaMnIr2 structure, as listed in the Alexandria database.

Properties
ΔH_f (0 K) = 0.37 eV per atom
offset from the most stable computed form = 410.4 meV/atom
size of the total moment = 3.42 Bohr magnetons per cell

Cell and atoms, written as CIF:
```
data_BaMnIr2
_cell_length_a 4.225
_cell_length_b 3.074
_cell_length_c 6.665
_cell_angle_alpha 88.75
_cell_angle_beta 90.00
_cell_angle_gamma 90.00
_symmetry_space_group_name_H-M 'P 1'
_symmetry_Int_Tables_number 1
_symmetry_space_group_name_Hall 'P 1'
loop_
_atom_site_label
_atom_site_fract_x
_atom_site_fract_y
_atom_site_fract_z
Ba1 0.500 0.639 0.772
Ir1 0.000 0.127 0.064
Ir2 0.500 0.121 0.296
Mn1 0.000 0.613 0.367
```



Entry 4:
First-principles (PBE) data for a geometry-optimized PmTmPt2 structure, as listed in the Alexandria database.

Properties
ΔH_f (0 K) = -1.24 eV per atom
offset from the most stable computed form = 0.0 meV/atom
size of the total moment = 0.00 Bohr magnetons per cell

Cell and atoms, written as CIF:
```
data_PmTmPt2
_cell_length_a 3.801
_cell_length_b 4.498
_cell_length_c 5.648
_cell_angle_alpha 90.00
_cell_angle_beta 109.77
_cell_angle_gamma 90.00
_symmetry_space_group_name_H-M 'P 1'
_symmetry_Int_Tables_number 1
_symmetry_space_group_name_Hall 'P 1'
loop_
_atom_site_label
_atom_site_fract_x
_atom_site_fract_y
_atom_site_fract_z
Pm1 0.444 0.500 0.427
Tm1 0.719 0.000 0.977
Pt1 0.172 0.500 0.883
Pt2 0.996 0.000 0.531
```